## CsHoSnCl6 (PBE)

Data for a geometry-optimized CsHoSnCl6 structure.

The calculation puts the total magnetization at 0.000 μB/atom. The total DFT energy (no corrections) comes out at -37.1 eV/cell. Its density of states at the Fermi level is 0.00 states/eV/cell. For the volume, the calculation gives 38.7 A^3/atom.

The space group is P312 (No. 149) and the conventional cell measures 7.2946, 7.2946 and 7.5637 Å, with angles of 90.00, 90.00 and 120.00 degrees. The distinct sites, in fractional coordinates, are Cs at (0.0000, 0.0000, 0.0000), Ho at (0.6667, 0.3333, 0.5000), Sn at (0.3333, 0.6667, 0.5000) and Cl at (0.3878, 0.0224, 0.7025).


## MnTl2Se (PBE)

Data for a geometry-optimized MnTl2Se structure.

The calculation puts the total magnetization at 1.089 μB/atom. The total DFT energy (no corrections) comes out at -16.4 eV/cell. For the energy above the lowest structure with this stoichiometry, the calculation gives 0.313 eV per atom. Its density of states at the Fermi level is 2.38 states/eV/cell. For the volume, the calculation gives 25.6 A^3/atom.

The space group is P2/m (No. 10) and the conventional cell measures 4.500, 4.052 and 5.908 Å, with angles of 90.00, 108.18 and 90.00 degrees. The distinct sites, in fractional coordinates, are Mn at (0.000, 0.000, 0.000), Tl at (0.483, 0.500, 0.247) and Se at (0.000, 0.000, 0.500).


## HfMnBeRh2 (PBE)

Data for a geometry-optimized HfMnBeRh2 structure.

The calculation puts the total magnetization at 0.666 μB/atom. The total DFT energy (no corrections) comes out at -31.1 eV/cell. As for the energy of formation: 1281 meV/atom. Its density of states at the Fermi level is 2.38 states/eV/cell. For the volume, the calculation gives 21.1 A^3/atom.

The space group is P4/mmm (No. 123) and the conventional cell measures 4.716, 4.716 and 4.740 Å, with angles of 90.00, 90.00 and 90.00 degrees. The distinct sites, in fractional coordinates, are Hf at (0.000, 0.000, 0.000), Mn at (0.000, 0.000, 0.500), Be at (0.500, 0.500, 0.500) and Rh at (0.000, 0.500, 0.000).


## ZrNb (PBE)

Data for a geometry-optimized ZrNb structure.

The calculation puts the total magnetization at 0.000 μB/atom. The total DFT energy (no corrections) comes out at -73.8 eV/cell. As for the energy of formation: 88 meV/atom. Its density of states at the Fermi level is 14.35 states/eV/cell. For the volume, the calculation gives 20.3 A^3/atom.

The space group is Imma (No. 74) and the conventional cell measures 4.868, 4.885 and 6.825 Å, with angles of 90.00, 90.00 and 90.00 degrees. The distinct sites, in fractional coordinates, are Zr at (0.000, 0.250, 0.124) and Nb at (0.000, 0.250, 0.626).


## La4ErTh3 (PBE)

Data for a geometry-optimized La4ErTh3 structure.

The calculation puts the total magnetization at 0.000 μB/atom. The total DFT energy (no corrections) comes out at -92.6 eV/cell. As for the energy of formation: 27 meV/atom. Its density of states at the Fermi level is 24.76 states/eV/cell. For the volume, the calculation gives 34.1 A^3/atom.

The space group is Pmmn (No. 59, origin choice 2) and the conventional cell measures 5.098, 10.233 and 10.449 Å, with angles of 90.00, 90.00 and 90.00 degrees. The distinct sites, in fractional coordinates, are La at (0.250, 0.000, 0.139), La at (0.250, 0.250, 0.858), La at (0.250, 0.750, 0.866), Er at (0.250, 0.250, 0.387), Th at (0.250, 0.002, 0.615) and Th at (0.250, 0.750, 0.383).


## Pm4Sm3Cd4 (PBE)

Data for a geometry-optimized Pm4Sm3Cd4 structure.

The calculation puts the total magnetization at 0.000 μB/atom. The total DFT energy (no corrections) comes out at -75.6 eV/cell. As for the energy of formation: -91 meV/atom. Its density of states at the Fermi level is 26.18 states/eV/cell. For the volume, the calculation gives 30.6 A^3/atom.

The space group is Immm (No. 71) and the conventional cell measures 5.386, 7.014 and 17.823 Å, with angles of 90.00, 90.00 and 90.00 degrees. The distinct sites, in fractional coordinates, are Pm at (0.000, 0.237, 0.181), Sm at (0.000, 0.000, 0.401), Sm at (0.000, 0.500, 0.500), Cd at (0.000, 0.291, 0.000) and Cd at (0.000, 0.500, 0.328).


## Rb3FeS3 (PBE)

Data for a geometry-optimized Rb3FeS3 structure.

The calculation puts the total magnetization at 0.709 μB/atom. The total DFT energy (no corrections) comes out at -120.4 eV/cell. For the energy above the lowest structure with this stoichiometry, the calculation gives 0.000 eV per atom. Its density of states at the Fermi level is 6.92 states/eV/cell. For the volume, the calculation gives 32.8 A^3/atom.

The space group is P2_1/c (No. 14) and the conventional cell measures 9.025, 7.995 and 12.878 Å, with angles of 90.00, 98.27 and 90.00 degrees. The distinct sites, in fractional coordinates, are Rb at (0.080, 0.155, 0.132), Rb at (0.314, 0.718, 0.789), Rb at (0.391, 0.227, 0.922), Fe at (0.165, 0.577, 0.047), S at (0.070, 0.058, 0.388), S at (0.242, 0.659, 0.523) and S at (0.348, 0.062, 0.648).


## Cs2CdCCl6 (PBE)

Data for a geometry-optimized Cs2CdCCl6 structure.

The calculation puts the total magnetization at 0.000 μB/atom. The total DFT energy (no corrections) comes out at -119.0 eV/cell. Its density of states at the Fermi level is 0.00 states/eV/cell. For the volume, the calculation gives 26.5 A^3/atom.

The space group is Fm-3m (No. 225) and the conventional cell measures 10.190, 10.190 and 10.190 Å, with angles of 90.00, 90.00 and 90.00 degrees. The distinct sites, in fractional coordinates, are Cs at (0.250, 0.250, 0.250), Cd at (0.000, 0.000, 0.000), C at (0.000, 0.000, 0.500) and Cl at (0.000, 0.000, 0.263).


## NaNdTl (PBE)

Data for a geometry-optimized NaNdTl structure.

The calculation puts the total magnetization at 0.000 μB/atom. The total DFT energy (no corrections) comes out at -8.8 eV/cell. As for the energy of formation: -106 meV/atom. For the energy above the lowest structure with this stoichiometry, the calculation gives 0.078 eV per atom. Its density of states at the Fermi level is 2.34 states/eV/cell. For the volume, the calculation gives 29.0 A^3/atom.

The space group is P3m1 (No. 156) and the conventional cell measures 5.4022, 5.4022 and 3.4409 Å, with angles of 90.00, 90.00 and 120.00 degrees. The distinct sites, in fractional coordinates, are Na at (0.0000, 0.0000, 0.0000), Nd at (0.6667, 0.3333, 0.5041) and Tl at (0.3333, 0.6667, 0.0078).


## Sc2CuIr2 (PBE)

Data for a geometry-optimized Sc2CuIr2 structure.

The calculation puts the total magnetization at 0.000 μB/atom. The total DFT energy (no corrections) comes out at -74.8 eV/cell. As for the energy of formation: -585 meV/atom. Its density of states at the Fermi level is 4.75 states/eV/cell. For the volume, the calculation gives 17.4 A^3/atom.

The space group is P4/mbm (No. 127) and the conventional cell measures 6.662, 6.662 and 3.928 Å, with angles of 90.00, 90.00 and 90.00 degrees. The distinct sites, in fractional coordinates, are Sc at (0.171, 0.329, 0.000), Cu at (0.000, 0.000, 0.500) and Ir at (0.139, 0.639, 0.500).


## LaPrSbCl (PBE)

Data for a geometry-optimized LaPrSbCl structure.

The calculation puts the total magnetization at 0.109 μB/atom. The total DFT energy (no corrections) comes out at -83.2 eV/cell. Its density of states at the Fermi level is 15.28 states/eV/cell. For the volume, the calculation gives 28.0 A^3/atom.

The space group is F-43m (No. 216) and the conventional cell measures 7.648, 7.648 and 7.648 Å, with angles of 90.00, 90.00 and 90.00 degrees. The distinct sites, in fractional coordinates, are La at (0.000, 0.000, 0.000), Pr at (0.000, 0.000, 0.500), Sb at (0.250, 0.250, 0.750) and Cl at (0.250, 0.250, 0.250).


## InHgSe (PBE)

Data for a geometry-optimized InHgSe structure.

The calculation puts the total magnetization at 0.000 μB/atom. The total DFT energy (no corrections) comes out at -13.7 eV/cell. For the energy above the lowest structure with this stoichiometry, the calculation gives 0.094 eV per atom. Its density of states at the Fermi level is 1.77 states/eV/cell. For the volume, the calculation gives 27.9 A^3/atom.

The space group is I4mm (No. 107) and the conventional cell measures 3.716, 3.716 and 12.139 Å, with angles of 90.00, 90.00 and 90.00 degrees. The distinct sites, in fractional coordinates, are In at (0.000, 0.000, 0.000), Hg at (0.000, 0.000, 0.701) and Se at (0.000, 0.000, 0.407).